This record from Alexandria describes a crystal of TePt relaxed with PBEsol. The functional is SCAN.

Structure (CIF):
```
data_TePt
_space_group_name_H-M_alt 'P 63/m m c'
_space_group_IT_number 194
_space_group_name_Hall '-P 6c 2c'
_cell_length_a 4.3741
_cell_length_b 4.3741
_cell_length_c 10.8531
_cell_angle_alpha 90.00
_cell_angle_beta 90.00
_cell_angle_gamma 120.00
loop_
_atom_site_label
_atom_site_type_symbol
_atom_site_fract_x
_atom_site_fract_y
_atom_site_fract_z
Te1 Te 0.3333 0.6667 0.0934
Pt1 Pt 0.0000 0.0000 0.2500
Pt2 Pt 0.3333 0.6667 0.7500
```

The calculation puts the total magnetic moment at 0.000 μB/atom. Its uncorrected formation energy is 272 meV per atom. As for the mass density: 11.92 g cm⁻³.



This record from Alexandria describes a crystal of TaAsCl relaxed with PBEsol. The functional is SCAN.

Structure (CIF):
```
data_TaAsCl
_space_group_name_H-M_alt 'F -4 3 m'
_space_group_IT_number 216
_space_group_name_Hall 'F -4 2 3'
_cell_length_a 6.020
_cell_length_b 6.020
_cell_length_c 6.020
_cell_angle_alpha 90.00
_cell_angle_beta 90.00
_cell_angle_gamma 90.00
loop_
_atom_site_label
_atom_site_type_symbol
_atom_site_fract_x
_atom_site_fract_y
_atom_site_fract_z
Ta1 Ta 0.000 0.000 0.000
As1 As 0.000 0.000 0.500
Cl1 Cl 0.250 0.250 0.250
```

The calculation puts the total magnetic moment at 0.165 μB/atom. Its uncorrected formation energy is 1051 meV per atom. As for the mass density: 8.87 g cm⁻³.